This record from the Alexandria database describes MgTl2Cd at its PBEsol-relaxed geometry. The functional is SCAN.

Geometry as CIF:
```
data_MgTl2Cd
_chemical_formula_sum 'Mg2 Tl4 Cd2'
_symmetry_space_group_name_H-M 'I 4/m m m'
_symmetry_Int_Tables_number 139
_symmetry_space_group_name_Hall '-I 4 2'
_cell_length_a 4.7570
_cell_length_b 4.7570
_cell_length_c 8.6637
_cell_angle_alpha 90.00
_cell_angle_beta 90.00
_cell_angle_gamma 90.00
loop_
_atom_site_label
_atom_site_type_symbol
_atom_site_fract_x
_atom_site_fract_y
_atom_site_fract_z
Mg1 Mg 0.0000 0.0000 0.0000
Tl1 Tl 0.0000 0.5000 0.2500
Cd1 Cd 0.0000 0.0000 0.5000
```

Computed properties:
Energy of formation: 0.01 eV per atom
V: 98 Å³/f.u.